[1]
{
  "formula": "La2SmDy6Er3",
  "functional": "GGA-PBE",
  "state": "optimized geometry",
  "cell": [[6.197, -0.001, 0.002], [-3.098, 5.368, 0.002], [-1.036, -1.793, 11.654]],
  "species": ["Er", "Er", "Er", "Dy", "Dy", "Dy", "Dy", "Dy", "Dy", "La", "La", "Sm"],
  "fractional_positions": [[0.166, 0.834, 0.500], [0.500, 0.500, 0.500], [0.834, 0.166, 0.500], [0.914, 0.581, 0.744], [0.581, 0.914, 0.744], [0.086, 0.419, 0.256], [0.753, 0.753, 0.256], [0.419, 0.086, 0.256], [0.247, 0.247, 0.744], [0.334, 0.666, 0.000], [0.666, 0.334, 0.000], [0.000, 0.000, 0.000]],
  "spacegroup": "C2/m"
}

=====

[2]
{
  "formula": "La6SmDyEr2",
  "functional": "GGA-PBE",
  "state": "optimized geometry",
  "cell": [[-8.738, -4.498, 0.412], [0.538, -0.364, -8.992], [4.290, -6.398, 4.685]],
  "species": ["La", "La", "La", "La", "La", "La", "La", "La", "La", "La", "La", "La", "Er", "Er", "Er", "Er", "Dy", "Dy", "Sm", "Sm"],
  "fractional_positions": [[0.552, 0.758, 0.108], [0.880, 0.297, 0.509], [0.380, 0.509, 0.297], [0.808, 0.438, 0.996], [0.948, 0.892, 0.242], [0.448, 0.242, 0.892], [0.692, 0.004, 0.562], [0.120, 0.703, 0.491], [0.052, 0.108, 0.758], [0.620, 0.491, 0.703], [0.192, 0.562, 0.004], [0.308, 0.996, 0.438], [0.047, 0.292, 0.198], [0.453, 0.802, 0.708], [0.953, 0.708, 0.802], [0.547, 0.198, 0.292], [0.750, 0.589, 0.411], [0.250, 0.411, 0.589], [0.250, 0.974, 0.026], [0.750, 0.026, 0.974]],
  "spacegroup": "C2/c"
}

=====

[3]
{
  "formula": "La5Sm2DyEr",
  "functional": "GGA-PBE",
  "state": "optimized geometry",
  "cell": [[8.666, 0.000, 0.000], [0.000, 8.666, 0.000], [-4.333, -4.333, 8.576]],
  "species": ["La", "La", "La", "La", "La", "La", "La", "La", "La", "La", "Dy", "Dy", "Sm", "Sm", "Sm", "Sm", "Er", "Er"],
  "fractional_positions": [[0.575, 0.638, 0.713], [0.138, 0.075, 0.713], [0.075, 0.575, 0.713], [0.638, 0.138, 0.713], [0.500, 0.500, 0.000], [0.000, 0.000, 0.000], [0.925, 0.425, 0.287], [0.362, 0.862, 0.287], [0.425, 0.362, 0.287], [0.862, 0.925, 0.287], [0.750, 0.750, 0.500], [0.250, 0.250, 0.500], [0.377, 0.877, 0.000], [0.123, 0.377, 0.000], [0.877, 0.623, 0.000], [0.623, 0.123, 0.000], [0.750, 0.250, 0.500], [0.250, 0.750, 0.500]],
  "spacegroup": "I4/mcm"
}

=====

[4]
{
  "formula": "LaSm5Dy2Er",
  "functional": "GGA-PBE",
  "state": "optimized geometry",
  "cell": [[9.273, 0.000, 0.000], [0.000, 9.273, 0.000], [-4.636, -4.636, 7.207]],
  "species": ["La", "La", "Dy", "Dy", "Dy", "Dy", "Sm", "Sm", "Sm", "Sm", "Sm", "Sm", "Sm", "Sm", "Sm", "Sm", "Er", "Er"],
  "fractional_positions": [[0.250, 0.250, 0.500], [0.750, 0.750, 0.500], [0.390, 0.890, 0.000], [0.110, 0.390, 0.000], [0.610, 0.110, 0.000], [0.890, 0.610, 0.000], [0.573, 0.667, 0.740], [0.500, 0.500, 0.000], [0.667, 0.167, 0.740], [0.833, 0.927, 0.260], [0.073, 0.573, 0.740], [0.927, 0.427, 0.260], [0.427, 0.333, 0.260], [0.000, 0.000, 0.000], [0.333, 0.833, 0.260], [0.167, 0.073, 0.740], [0.250, 0.750, 0.500], [0.750, 0.250, 0.500]],
  "spacegroup": "I4/mcm"
}

=====

[5]
{
  "formula": "La2Sm2Dy4Er",
  "functional": "GGA-PBE",
  "state": "optimized geometry",
  "cell": [[-3.374, -1.285, 0.443], [3.418, -0.742, 8.938], [-3.600, 8.652, -2.318]],
  "species": ["Er", "La", "La", "Sm", "Sm", "Dy", "Dy", "Dy", "Dy"],
  "fractional_positions": [[0.000, 0.000, 0.000], [0.665, 0.329, 0.000], [0.335, 0.671, 0.000], [0.147, 0.294, 0.663], [0.853, 0.706, 0.337], [0.185, 0.370, 0.337], [0.815, 0.630, 0.663], [0.520, 0.040, 0.333], [0.480, 0.960, 0.667]],
  "spacegroup": "C2/m"
}

=====

[6]
{
  "formula": "LaSm6Dy2Er",
  "functional": "GGA-PBE",
  "state": "optimized geometry",
  "cell": [[9.200, -2.024, -2.100], [0.887, 8.632, -2.003], [0.887, -2.322, 8.552]],
  "species": ["Dy", "Dy", "Dy", "Dy", "Sm", "Sm", "Sm", "Sm", "Sm", "Sm", "Sm", "Sm", "Sm", "Sm", "Sm", "Sm", "La", "La", "Er", "Er"],
  "fractional_positions": [[0.951, 0.696, 0.798], [0.549, 0.202, 0.304], [0.049, 0.304, 0.202], [0.451, 0.798, 0.696], [0.056, 0.120, 0.754], [0.816, 0.439, 0.988], [0.684, 0.012, 0.561], [0.556, 0.754, 0.120], [0.316, 0.988, 0.439], [0.184, 0.561, 0.012], [0.618, 0.489, 0.707], [0.882, 0.293, 0.511], [0.382, 0.511, 0.293], [0.118, 0.707, 0.489], [0.444, 0.246, 0.880], [0.944, 0.880, 0.246], [0.750, 0.028, 0.972], [0.250, 0.972, 0.028], [0.250, 0.410, 0.590], [0.750, 0.590, 0.410]],
  "spacegroup": "C2/c"
}

=====

[7]
{
  "formula": "LaSm6Dy2Er3",
  "functional": "GGA-PBE",
  "state": "optimized geometry",
  "cell": [[6.232, -0.001, 0.020], [-3.115, 5.397, 0.020], [-1.076, -1.862, 11.696]],
  "species": ["Sm", "Sm", "Sm", "Sm", "Sm", "Sm", "Er", "Er", "Er", "La", "Dy", "Dy"],
  "fractional_positions": [[0.581, 0.916, 0.746], [0.916, 0.581, 0.746], [0.084, 0.419, 0.254], [0.419, 0.084, 0.254], [0.750, 0.750, 0.254], [0.250, 0.250, 0.746], [0.833, 0.167, 0.500], [0.167, 0.833, 0.500], [0.500, 0.500, 0.500], [0.000, 0.000, 0.000], [0.333, 0.667, 0.000], [0.667, 0.333, 0.000]],
  "spacegroup": "C2/m"
}

=====

[8]
{
  "formula": "LaSm3DyEr",
  "functional": "GGA-PBE",
  "state": "optimized geometry",
  "cell": [[5.772, 0.000, 0.000], [-2.886, 10.065, 1.580], [0.000, -1.225, 6.790]],
  "species": ["Er", "Er", "Dy", "Dy", "Sm", "Sm", "Sm", "Sm", "Sm", "Sm", "La", "La"],
  "fractional_positions": [[0.356, 0.711, 0.530], [0.644, 0.289, 0.470], [0.944, 0.887, 0.730], [0.056, 0.113, 0.270], [0.780, 0.561, 0.742], [0.220, 0.439, 0.258], [0.160, 0.320, 0.736], [0.840, 0.680, 0.264], [0.481, 0.961, 0.256], [0.519, 0.039, 0.744], [0.646, 0.292, 0.024], [0.354, 0.708, 0.976]],
  "spacegroup": "C2/m"
}

=====

[9]
{
  "formula": "La2Sm4DyEr",
  "functional": "GGA-PBE",
  "state": "optimized geometry",
  "cell": [[-5.116, -0.519, 0.135], [0.136, -0.004, 5.119], [-0.905, 10.258, 5.174]],
  "species": ["Dy", "Sm", "Sm", "Sm", "Sm", "Er", "La", "La"],
  "fractional_positions": [[0.500, 0.500, 0.000], [0.500, 0.250, 0.750], [0.000, 0.249, 0.251], [0.500, 0.750, 0.250], [0.000, 0.751, 0.749], [0.000, 0.500, 0.500], [0.000, 0.000, 0.000], [0.500, 0.000, 0.500]],
  "spacegroup": "P2/m"
}

=====

[10]
{
  "formula": "La4SmDy2Er2",
  "functional": "GGA-PBE",
  "state": "optimized geometry",
  "cell": [[-3.566, 0.402, 0.663], [-0.128, -2.346, -9.306], [-0.576, -8.612, 2.115]],
  "species": ["Sm", "La", "La", "La", "La", "Dy", "Dy", "Er", "Er"],
  "fractional_positions": [[0.000, 0.000, 0.000], [0.556, 0.113, 0.331], [0.444, 0.887, 0.669], [0.224, 0.447, 0.328], [0.776, 0.553, 0.672], [0.889, 0.779, 0.328], [0.111, 0.221, 0.672], [0.667, 0.334, 0.997], [0.333, 0.666, 0.003]],
  "spacegroup": "C2/m"
}

=====

[11]
{
  "formula": "La3SmDy6Er2",
  "functional": "GGA-PBE",
  "state": "optimized geometry",
  "cell": [[6.231, -0.002, 0.002], [-3.116, 5.397, 0.002], [-1.043, -1.806, 11.704]],
  "species": ["La", "La", "La", "Dy", "Dy", "Dy", "Dy", "Dy", "Dy", "Sm", "Er", "Er"],
  "fractional_positions": [[0.833, 0.167, 0.500], [0.500, 0.500, 0.500], [0.167, 0.833, 0.500], [0.919, 0.585, 0.756], [0.081, 0.415, 0.244], [0.585, 0.919, 0.756], [0.415, 0.081, 0.244], [0.253, 0.253, 0.756], [0.747, 0.747, 0.244], [0.000, 0.000, 0.000], [0.333, 0.667, 0.000], [0.667, 0.333, 0.000]],
  "spacegroup": "C2/m"
}

=====

[12]
{
  "formula": "La6SmDy2Er",
  "functional": "GGA-PBE",
  "state": "optimized geometry",
  "cell": [[-6.356, -1.032, 6.396], [-4.511, -2.440, -4.877], [5.042, -3.772, 2.359]],
  "species": ["La", "La", "La", "La", "La", "La", "Sm", "Dy", "Dy", "Er"],
  "fractional_positions": [[0.571, 0.366, 0.732], [0.194, 0.036, 0.627], [0.194, 0.591, 0.627], [0.429, 0.634, 0.268], [0.806, 0.964, 0.373], [0.806, 0.409, 0.373], [0.500, 0.000, 0.000], [0.166, 0.083, 0.167], [0.834, 0.917, 0.833], [0.000, 0.500, 0.000]],
  "spacegroup": "C2/m"
}

=====

[13]
{
  "formula": "La4SmDy2Er",
  "functional": "GGA-PBE",
  "state": "optimized geometry",
  "cell": [[5.249, 0.000, 0.000], [0.000, 5.032, 1.378], [0.000, 2.384, 11.052]],
  "species": ["La", "La", "La", "La", "Sm", "Dy", "Dy", "Er"],
  "fractional_positions": [[0.000, 0.752, 0.748], [0.000, 0.248, 0.252], [0.500, 0.252, 0.748], [0.500, 0.748, 0.252], [0.500, 0.500, 0.000], [0.500, 0.000, 0.500], [0.000, 0.000, 0.000], [0.000, 0.500, 0.500]],
  "spacegroup": "Pmmm"
}

=====

[14]
{
  "formula": "La2SmDyEr2",
  "functional": "GGA-PBE",
  "state": "optimized geometry",
  "cell": [[5.777, 0.000, 0.000], [0.000, 6.356, 0.000], [0.000, 0.000, 11.035]],
  "species": ["Er", "Er", "Er", "Er", "Dy", "Dy", "Sm", "Sm", "La", "La", "La", "La"],
  "fractional_positions": [[0.500, 0.671, 0.578], [0.000, 0.342, 0.915], [0.500, 0.171, 0.422], [0.000, 0.842, 0.085], [0.000, 0.839, 0.419], [0.000, 0.339, 0.581], [0.500, 0.677, 0.254], [0.500, 0.177, 0.746], [0.500, 0.676, 0.916], [0.000, 0.839, 0.748], [0.000, 0.339, 0.252], [0.500, 0.176, 0.084]],
  "spacegroup": "Pmc2_1"
}

=====

[15]
{
  "formula": "LaSm2DyEr5",
  "functional": "GGA-PBE",
  "state": "optimized geometry",
  "cell": [[8.757, 0.000, 0.000], [0.000, 8.757, 0.000], [-4.379, -4.379, 7.642]],
  "species": ["Sm", "Sm", "Sm", "Sm", "Er", "Er", "Er", "Er", "Er", "Er", "Er", "Er", "Er", "Er", "Dy", "Dy", "La", "La"],
  "fractional_positions": [[0.884, 0.616, 0.000], [0.384, 0.884, 0.000], [0.616, 0.116, 0.000], [0.116, 0.384, 0.000], [0.343, 0.843, 0.270], [0.157, 0.073, 0.730], [0.073, 0.573, 0.730], [0.000, 0.000, 0.000], [0.427, 0.343, 0.270], [0.927, 0.427, 0.270], [0.843, 0.927, 0.270], [0.573, 0.657, 0.730], [0.500, 0.500, 0.000], [0.657, 0.157, 0.730], [0.250, 0.750, 0.500], [0.750, 0.250, 0.500], [0.250, 0.250, 0.500], [0.750, 0.750, 0.500]],
  "spacegroup": "I4/mcm"
}

=====

[16]
{
  "formula": "La4Sm2DyEr",
  "functional": "GGA-PBE",
  "state": "optimized geometry",
  "cell": [[-2.268, 2.415, 4.079], [-1.233, -4.633, 2.058], [7.564, -4.773, 7.032]],
  "species": ["La", "La", "La", "La", "Er", "Dy", "Sm", "Sm"],
  "fractional_positions": [[0.000, 0.250, 0.250], [0.500, 0.751, 0.249], [0.500, 0.249, 0.751], [0.000, 0.750, 0.750], [0.500, 0.500, 0.000], [0.000, 0.500, 0.500], [0.000, 0.000, 0.000], [0.500, 0.000, 0.500]],
  "spacegroup": "P2/m"
}

=====

[17]
{
  "formula": "LaSmDy2Er2",
  "functional": "GGA-PBE",
  "state": "optimized geometry",
  "cell": [[-2.425, -1.730, -1.627], [0.169, -4.616, 4.656], [-12.573, 8.897, 9.277]],
  "species": ["Dy", "Dy", "Dy", "Dy", "Sm", "Sm", "Er", "Er", "Er", "Er", "La", "La"],
  "fractional_positions": [[0.000, 0.781, 0.188], [0.000, 0.219, 0.812], [0.500, 0.281, 0.312], [0.500, 0.719, 0.688], [0.000, 0.000, 0.500], [0.500, 0.500, 0.000], [0.000, 0.717, 0.851], [0.000, 0.283, 0.149], [0.500, 0.217, 0.649], [0.500, 0.783, 0.351], [0.500, 0.500, 0.500], [0.000, 0.000, 0.000]],
  "spacegroup": "Pnnm"
}

=====

[18]
{
  "formula": "La2Sm2DyEr2",
  "functional": "GGA-PBE",
  "state": "optimized geometry",
  "cell": [[5.117, 0.000, 0.000], [-2.559, 5.700, 0.280], [0.000, -1.546, 7.965]],
  "species": ["Er", "Er", "La", "La", "Sm", "Sm", "Dy"],
  "fractional_positions": [[0.570, 0.141, 0.717], [0.430, 0.859, 0.283], [0.858, 0.716, 0.575], [0.142, 0.284, 0.425], [0.715, 0.430, 0.139], [0.285, 0.570, 0.861], [0.000, 0.000, 0.000]],
  "spacegroup": "C2/m"
}

=====

[19]
{
  "formula": "LaSmDy5Er2",
  "functional": "GGA-PBE",
  "state": "optimized geometry",
  "cell": [[9.012, 0.000, 0.000], [0.000, 9.012, 0.000], [-4.506, -4.506, 7.340]],
  "species": ["Dy", "Dy", "Dy", "Dy", "Dy", "Dy", "Dy", "Dy", "Dy", "Dy", "La", "La", "Er", "Er", "Er", "Er", "Sm", "Sm"],
  "fractional_positions": [[0.073, 0.573, 0.743], [0.169, 0.073, 0.743], [0.927, 0.427, 0.257], [0.831, 0.927, 0.257], [0.000, 0.000, 0.000], [0.427, 0.331, 0.257], [0.669, 0.169, 0.743], [0.331, 0.831, 0.257], [0.573, 0.669, 0.743], [0.500, 0.500, 0.000], [0.250, 0.250, 0.500], [0.750, 0.750, 0.500], [0.388, 0.888, 0.000], [0.612, 0.112, 0.000], [0.112, 0.388, 0.000], [0.888, 0.612, 0.000], [0.250, 0.750, 0.500], [0.750, 0.250, 0.500]],
  "spacegroup": "I4/mcm"
}

=====

Number 1: formation energy 0.024 eV/atom, D(E_F) 16.69 states/eV per cell. Number 2: formation energy 0.106 eV/atom, D(E_F) 30.26 states/eV per cell. Number 3: formation energy 0.282 eV/atom, D(E_F) 32.86 states/eV per cell. Number 4: formation energy 0.290 eV/atom, D(E_F) 27.72 states/eV per cell. Number 5: formation energy 0.005 eV/atom, D(E_F) 12.98 states/eV per cell. Number 6: formation energy 0.117 eV/atom, D(E_F) 28.61 states/eV per cell. Number 7: formation energy 0.020 eV/atom, D(E_F) 15.57 states/eV per cell. Number 8: formation energy 0.196 eV/atom, D(E_F) 18.06 states/eV per cell. Number 9: formation energy 0.028 eV/atom, D(E_F) 13.44 states/eV per cell. Number 10: formation energy 0.027 eV/atom, D(E_F) 14.76 states/eV per cell. Number 11: formation energy 0.022 eV/atom, D(E_F) 16.58 states/eV per cell. Number 12: formation energy 0.194 eV/atom, D(E_F) 19.29 states/eV per cell. Number 13: formation energy 0.019 eV/atom, D(E_F) 10.98 states/eV per cell. Number 14: formation energy 0.035 eV/atom, D(E_F) 22.18 states/eV per cell. Number 15: formation energy 0.264 eV/atom, D(E_F) 20.25 states/eV per cell. Number 16: formation energy 0.018 eV/atom, D(E_F) 11.44 states/eV per cell. Number 17: formation energy 0.278 eV/atom, D(E_F) 19.77 states/eV per cell. Number 18: formation energy 0.028 eV/atom, D(E_F) 11.09 states/eV per cell. Number 19: formation energy 0.284 eV/atom, D(E_F) 26.25 states/eV per cell.